No. 1
First-principles (PBEsol) data for a relaxed structure of In2AsSe, as listed in the Alexandria database.

Values from the calculation:
- ΔE_f (raw): -0.3063 eV per atom
- SG: R-3m (166)
- ΔE to the lowest computed polymorph: 0.0 meV/atom

Cell: 4.0343 4.0343 6.9841 Å, 73.21 73.21 60.00°
Closest atoms and distances in Å follow each position.
Positions (direct):
Se1 0.5000 0.5000 0.5000  6 In 2.91
In1 0.2551 0.2551 0.2346  3 As 2.79, 3 Se 2.91
In2 0.7449 0.7449 0.7654  3 As 2.79, 3 Se 2.91
As1 0.0000 0.0000 0.0000  6 In 2.79

***

No. 2
First-principles (PBEsol) data for a relaxed structure of ErZn2Ni, as listed in the Alexandria database.

Values from the calculation:
- SG: Cmcm (63)

Cell: 3.8953 4.9718 7.1577 Å, 90.00 90.00 113.06°
Closest atoms and distances in Å follow each position.
Positions (direct):
Er1 0.4348 0.8697 0.2500  3 Ni 2.61-2.76
Er2 0.5652 0.1303 0.7500  3 Ni 2.61-2.76
Zn1 0.1462 0.2925 0.0534  3 Ni 2.49-2.50, 1 Zn 2.78
Zn2 0.1462 0.2925 0.4466  3 Ni 2.49-2.50, 1 Zn 2.78
Zn3 0.8538 0.7075 0.5534  3 Ni 2.49-2.50, 1 Zn 2.78
Zn4 0.8538 0.7075 0.9466  3 Ni 2.49-2.50, 1 Zn 2.78
Ni1 0.2795 0.5591 0.7500  6 Zn 2.49-2.50, 3 Er 2.61-2.76
Ni2 0.7205 0.4409 0.2500  6 Zn 2.49-2.50, 3 Er 2.61-2.76

***

No. 3
First-principles (PBEsol) data for a relaxed structure of InCI2O, as listed in the Alexandria database.

Values from the calculation:
- ΔE_f (raw): 0.7240 eV per atom
- SG: P4/mmm (123)

Cell: 3.0396 6.2879 6.2879 Å, 90.00 90.00 90.00°
Closest atoms and distances in Å follow each position.
Positions (direct):
In1 0.5000 0.5000 0.5000  2 In 3.04
C1 0.0000 0.0000 0.0000  2 O 1.52
O1 0.5000 0.0000 0.0000  2 C 1.52
I1 0.0000 0.5000 0.0000  2 I 3.04, 2 C 3.14
I2 0.0000 0.0000 0.5000  2 I 3.04, 2 C 3.14

***

No. 4
First-principles (PBEsol) data for a relaxed structure of Tc2Rh, as listed in the Alexandria database.

Values from the calculation:
- SG: Cm (8)
- ΔE to the lowest computed polymorph: 0.0 meV/atom

Cell: 2.6985 5.0899 6.3872 Å, 103.32 90.00 105.37°
Closest atoms and distances in Å follow each position.
Positions (direct):
Rh1 0.9990 0.9980 0.9974  8 Tc 2.65-2.71, 4 Rh 2.70-2.75
Rh2 0.6677 0.3353 0.3367  8 Tc 2.65-2.68, 4 Rh 2.70-2.75
Tc1 0.0564 0.1129 0.6119  3 Rh 2.65, 9 Tc 2.65-2.71
Tc2 0.7211 0.4422 0.9443  4 Rh 2.65-2.68, 8 Tc 2.68-2.73
Tc3 0.3897 0.7794 0.2787  7 Tc 2.65-2.73, 5 Rh 2.66-2.67
Tc4 0.3328 0.6655 0.6643  8 Tc 2.65-2.70, 4 Rh 2.68-2.71

***

No. 5
First-principles (PBEsol) data for a relaxed structure of Cu3B7ClO13, as listed in the Alexandria database.

Values from the calculation:
- ΔE_f (raw): -1.9376 eV per atom
- SG: Pca2_1 (29)

Cell: 8.4425 8.4909 11.9657 Å, 90.00 90.00 90.00°
Closest atoms and distances in Å follow each position.
Positions (direct):
O1 0.9538 0.9168 0.6969  2 B 1.46-1.47
O2 0.4694 0.8292 0.6137  2 B 1.44-1.47
O3 0.3765 0.3329 0.7803  2 B 1.45-1.47
O4 0.3765 0.1671 0.2803  2 B 1.45-1.47
O5 0.4378 0.0868 0.6918  2 B 1.44-1.45
O6 0.4118 0.4595 0.9905  2 B 1.37-1.49
O7 0.9764 0.1704 0.6134  2 B 1.45-1.46
O8 0.8326 0.8781 0.9113  2 B 1.37-1.49
O9 0.8306 0.4611 0.5742  2 B 1.37-1.48
O10 0.7501 0.7687 0.6050  3 B 1.55-1.57
O11 0.1674 0.3781 0.9113  2 B 1.37-1.49
O12 0.5882 0.9595 0.9905  2 B 1.37-1.49
O13 0.5622 0.5868 0.6918  2 B 1.44-1.45
O14 0.6235 0.8329 0.7803  2 B 1.45-1.47
O15 0.5622 0.9132 0.1918  2 B 1.44-1.45
O16 0.9764 0.3296 0.1134  2 B 1.45-1.46
O17 0.9099 0.9510 0.4981  2 B 1.44-1.47
O18 0.2499 0.2687 0.6050  3 B 1.55-1.57
O19 0.3328 0.3605 0.4203  2 B 1.45-1.47
O20 0.6235 0.6671 0.2803  2 B 1.45-1.47
O21 0.6628 0.4658 0.0776  2 B 1.45-1.46
O22 0.9538 0.5832 0.1969  2 B 1.46-1.47
O23 0.0901 0.4510 0.4981  2 B 1.44-1.47
O24 0.0462 0.0832 0.1969  2 B 1.46-1.47
O25 0.4378 0.4132 0.1918  2 B 1.44-1.45
O26 0.0236 0.8296 0.1134  2 B 1.45-1.46
O27 0.2499 0.2313 0.1050  3 B 1.55-1.57
O28 0.0901 0.0490 0.9981  2 B 1.44-1.47
O29 0.5306 0.3292 0.6137  2 B 1.44-1.47
O30 0.0236 0.6704 0.6134  2 B 1.45-1.46
O31 0.3372 0.9658 0.0776  2 B 1.45-1.46
O32 0.8613 0.6745 0.7780  2 B 1.44-1.46
O33 0.1387 0.1745 0.7780  2 B 1.44-1.46
O34 0.1674 0.1219 0.4113  2 B 1.37-1.49
O35 0.8306 0.0389 0.0742  2 B 1.37-1.48
O36 0.3328 0.1395 0.9203  2 B 1.45-1.47
O37 0.5306 0.1708 0.1137  2 B 1.44-1.47
O38 0.0462 0.4168 0.6969  2 B 1.46-1.47
O39 0.5882 0.5405 0.4905  2 B 1.37-1.49
O40 0.1694 0.9611 0.5742  2 B 1.37-1.48
O41 0.1387 0.3255 0.2780  2 B 1.44-1.46
O42 0.7501 0.7313 0.1050  3 B 1.55-1.57
O43 0.8326 0.6219 0.4113  2 B 1.37-1.49
O44 0.4694 0.6708 0.1137  2 B 1.44-1.47
O45 0.1694 0.5389 0.0742  2 B 1.37-1.48
O46 0.8613 0.8255 0.2780  2 B 1.44-1.46
O47 0.6628 0.0342 0.5776  2 B 1.45-1.46
O48 0.4118 0.0405 0.4905  2 B 1.37-1.49
O49 0.6672 0.8605 0.4203  2 B 1.45-1.47
O50 0.9099 0.5490 0.9981  2 B 1.44-1.47
O51 0.3372 0.5342 0.5776  2 B 1.45-1.46
O52 0.6672 0.6395 0.9203  2 B 1.45-1.47
Cl1 0.7526 0.2834 0.8312  3 Cu 2.48-2.59
Cl2 0.2474 0.7166 0.3312  3 Cu 2.48-2.59
Cl3 0.7526 0.2166 0.3312  3 Cu 2.48-2.59
Cl4 0.2474 0.7834 0.8312  3 Cu 2.48-2.59
B1 0.4955 0.9988 0.5958  4 O 1.45-1.49
B2 0.7454 0.7449 0.3479  4 O 1.46-1.49
B3 0.5941 0.7477 0.1756  4 O 1.44-1.57
B4 0.5045 0.0012 0.0958  4 O 1.45-1.49
B5 0.4955 0.5012 0.0958  4 O 1.45-1.49
B6 0.4059 0.2523 0.6756  4 O 1.44-1.57
B7 0.5045 0.4988 0.5958  4 O 1.45-1.49
B8 0.2520 0.0913 0.0218  4 O 1.44-1.55
B9 0.9038 0.7550 0.6766  4 O 1.44-1.56
B10 0.7507 0.9540 0.9942  3 O 1.37
B11 0.7454 0.7551 0.8479  4 O 1.46-1.49
B12 0.7507 0.5460 0.4942  3 O 1.37
B13 0.2546 0.2449 0.3479  4 O 1.46-1.49
B14 0.2493 0.0460 0.4942  3 O 1.37
B15 0.0962 0.2550 0.6766  4 O 1.44-1.56
B16 0.0014 0.4979 0.0959  4 O 1.46-1.48
B17 0.7480 0.5913 0.0218  4 O 1.44-1.55
B18 0.2546 0.2551 0.8479  4 O 1.46-1.49
B19 0.7480 0.9087 0.5218  4 O 1.44-1.55
B20 0.9038 0.7450 0.1766  4 O 1.44-1.56
B21 0.0014 0.0021 0.5959  4 O 1.46-1.48
B22 0.9986 0.9979 0.0959  4 O 1.46-1.48
B23 0.2520 0.4087 0.5218  4 O 1.44-1.55
B24 0.2493 0.4540 0.9942  3 O 1.37
B25 0.5941 0.7523 0.6756  4 O 1.44-1.57
B26 0.9986 0.5021 0.5959  4 O 1.46-1.48
B27 0.4059 0.2477 0.1756  4 O 1.44-1.57
B28 0.0962 0.2450 0.1766  4 O 1.44-1.56
Cu1 0.2497 0.7439 0.6165  4 O 1.98-2.03
Cu2 0.7503 0.2439 0.6165  4 O 1.98-2.03
Cu3 0.9686 0.4810 0.8446  4 O 1.96-2.05
Cu4 0.4721 0.5149 0.3438  4 O 1.97-2.03
Cu5 0.9686 0.0190 0.3446  4 O 1.96-2.05
Cu6 0.5279 0.4851 0.8438  4 O 1.97-2.03
Cu7 0.4721 0.9851 0.8438  4 O 1.97-2.03
Cu8 0.0314 0.5190 0.3446  4 O 1.96-2.05
Cu9 0.2497 0.7561 0.1165  4 O 1.98-2.03
Cu10 0.0314 0.9810 0.8446  4 O 1.96-2.05
Cu11 0.5279 0.0149 0.3438  4 O 1.97-2.03
Cu12 0.7503 0.2561 0.1165  4 O 1.98-2.03

***

No. 6
First-principles (PBEsol) data for a relaxed structure of CoPbSe2, as listed in the Alexandria database.

Values from the calculation:
- ΔE_f (raw): -0.0324 eV per atom
- SG: Pm (6)

Cell: 3.7209 4.5204 5.9455 Å, 112.52 90.00 90.00°
Closest atoms and distances in Å follow each position.
Positions (direct):
Se1 0.0000 0.9032 0.9301  1 Co 2.21
Se2 0.5000 0.5916 0.3106  2 Co 2.21
Pb1 0.5000 0.3043 0.7320  7 Se 3.12-3.24, 4 Co 3.14
Co1 0.0000 0.7010 0.5273  3 Se 2.21

***

| no. | DFT total energy (eV/atom) |
| --- | --- |
| 1 | -4.037 |
| 2 | -4.002 |
| 3 | -3.558 |
| 4 | -10.359 |
| 5 | -7.453 |
| 6 | -4.891 |